The following is a PBE calculation of a geometry-optimized Tb10NdTm4 structure, from Alexandria.

It has space group I4/m (No. 87), with a = 12.129 Å, b = 12.129 Å, c = 7.668 Å, α = 90.00°, β = 90.00° and γ = 90.00°. Symmetry generates all atoms from Tb at (0.000, 0.500, 0.250), Tb at (0.101, 0.798, 0.248), Nd at (0.000, 0.000, 0.500) and Tm at (0.099, 0.301, 0.000).

The calculation puts the formation energy from the elements at 0.724 eV/atom.

The following is a PBE calculation of a geometry-optimized TbNd2Tm12 structure, from Alexandria.

It has space group C2/m (No. 12), with a = 7.029 Å, b = 11.076 Å, c = 24.195 Å, α = 90.00°, β = 94.11° and γ = 90.00°. Symmetry generates all atoms from Tb at (0.250, 0.000, 0.000), Nd at (0.066, 0.000, 0.272), Nd at (0.068, 0.500, 0.272), Tm at (0.018, 0.250, 0.074), Tm at (0.112, 0.251, 0.446), Tm at (0.141, 0.000, 0.571), Tm at (0.144, 0.500, 0.570), Tm at (0.168, 0.251, 0.668), Tm at (0.202, 0.250, 0.800), Tm at (0.217, 0.000, 0.865) and Tm at (0.217, 0.500, 0.864).

The calculation puts the formation energy from the elements at 0.117 eV/atom.

The following is a PBE calculation of a geometry-optimized TbNd7Tm2 structure, from Alexandria.

It has space group Cmmm (No. 65), with a = 8.923 Å, b = 16.291 Å, c = 5.707 Å, α = 90.00°, β = 90.00° and γ = 90.00°. Symmetry generates all atoms from Tb at (0.000, 0.000, 0.000), Nd at (0.000, 0.224, 0.000), Nd at (0.000, 0.500, 0.500), Nd at (0.180, 0.115, 0.500) and Tm at (0.000, 0.295, 0.500).

The calculation puts the formation energy from the elements at 0.640 eV/atom.

The following is a PBE calculation of a geometry-optimized Tb6NdTm5 structure, from Alexandria.

It has space group C2/m (No. 12), with a = 6.124 Å, b = 10.625 Å, c = 11.721 Å, α = 90.00°, β = 100.07° and γ = 90.00°. Symmetry generates all atoms from Tb at (0.249, 0.167, 0.248), Tb at (0.250, 0.000, 0.752), Nd at (0.000, 0.500, 0.500), Tm at (0.000, 0.000, 0.000), Tm at (0.000, 0.167, 0.500) and Tm at (0.000, 0.333, 0.000).

The calculation puts the formation energy from the elements at 0.020 eV/atom.

The following is a PBE calculation of a geometry-optimized Tb6NdTm8 structure, from Alexandria.

It has space group R-3 (No. 148, hexagonal axes), with a = 8.9728 Å, b = 8.9728 Å, c = 20.4581 Å, α = 90.00°, β = 90.00° and γ = 120.00°. Symmetry generates all atoms from Tb at (0.0659, 0.8190, 0.2087), Nd at (0.0000, 0.0000, 0.5000), Tm at (0.0000, 0.0000, 0.0763) and Tm at (0.0806, 0.5288, 0.3088).

The energy above the most stable polymorph in this dataset comes out at 0 meV per atom. The calculation puts the formation energy from the elements at 0.134 eV/atom.

The following is a PBE calculation of a geometry-optimized Tb2Nd9Tm structure, from Alexandria.

It has space group P4/mmm (No. 123), with a = 5.153 Å, b = 5.153 Å, c = 15.456 Å, α = 90.00°, β = 90.00° and γ = 90.00°. Symmetry generates all atoms from Tb at (0.000, 0.000, 0.167), Nd at (0.000, 0.500, 0.000), Nd at (0.000, 0.500, 0.334), Nd at (0.500, 0.500, 0.167), Nd at (0.500, 0.500, 0.500) and Tm at (0.000, 0.000, 0.500).

The calculation puts the formation energy from the elements at 0.015 eV/atom.

The following is a PBE calculation of a geometry-optimized Tb2Nd3Tm7 structure, from Alexandria.

It has space group P2/m (No. 10), with a = 5.782 Å, b = 3.552 Å, c = 18.708 Å, α = 90.00°, β = 93.11° and γ = 90.00°. Symmetry generates all atoms from Tb at (0.211, 0.000, 0.291), Nd at (0.000, 0.000, 0.000), Nd at (0.276, 0.500, 0.633), Tm at (0.192, 0.500, 0.143), Tm at (0.243, 0.000, 0.461), Tm at (0.306, 0.000, 0.826) and Tm at (0.500, 0.500, 0.000).

The energy above the most stable polymorph in this dataset comes out at 0 meV per atom. The calculation puts the formation energy from the elements at 0.090 eV/atom.

The following is a PBE calculation of a geometry-optimized Tb5Nd4Tm2 structure, from Alexandria.

It has space group Immm (No. 71), with a = 3.502 Å, b = 9.300 Å, c = 23.017 Å, α = 90.00°, β = 90.00° and γ = 90.00°. Symmetry generates all atoms from Tb at (0.000, 0.000, 0.000), Tb at (0.000, 0.298, 0.350), Nd at (0.000, 0.205, 0.500), Nd at (0.000, 0.500, 0.096) and Tm at (0.000, 0.500, 0.230).

The energy above the most stable polymorph in this dataset comes out at 167 meV per atom. The calculation puts the formation energy from the elements at 0.276 eV/atom.

The following is a PBE calculation of a geometry-optimized Tb12NdTm7 structure, from Alexandria.

It has space group Im-3m (No. 229), with a = 11.309 Å, b = 11.309 Å, c = 11.309 Å, α = 90.00°, β = 90.00° and γ = 90.00°. Symmetry generates all atoms from Tb at (0.000, 0.258, 0.258), Nd at (0.000, 0.000, 0.000), Tm at (0.000, 0.000, 0.500) and Tm at (0.250, 0.250, 0.250).

The energy above the most stable polymorph in this dataset comes out at 470 meV per atom. The calculation puts the formation energy from the elements at 0.710 eV/atom.

The following is a PBE calculation of a geometry-optimized Tb9Nd11Tm4 structure, from Alexandria.

It has space group Cmmm (No. 65), with a = 17.031 Å, b = 25.835 Å, c = 3.655 Å, α = 90.00°, β = 90.00° and γ = 90.00°. Symmetry generates all atoms from Tb at (0.000, 0.000, 0.000), Tb at (0.102, 0.232, 0.000), Tb at (0.141, 0.427, 0.000), Nd at (0.000, 0.131, 0.500), Nd at (0.000, 0.339, 0.500), Nd at (0.000, 0.500, 0.500), Nd at (0.207, 0.000, 0.500), Nd at (0.224, 0.319, 0.500) and Tm at (0.157, 0.102, 0.000).

The calculation puts the formation energy from the elements at 0.053 eV/atom.

The following is a PBE calculation of a geometry-optimized Tb5NdTm7 structure, from Alexandria.

It has space group Imm2 (No. 44), with a = 6.662 Å, b = 10.987 Å, c = 11.493 Å, α = 90.00°, β = 90.00° and γ = 90.00°. Symmetry generates all atoms from Tb at (0.000, 0.000, 0.000), Tb at (0.232, 0.272, 0.997), Nd at (0.000, 0.500, 0.200), Tm at (0.000, 0.000, 0.497), Tm at (0.000, 0.168, 0.250), Tm at (0.000, 0.169, 0.747), Tm at (0.000, 0.500, 0.503) and Tm at (0.000, 0.500, 0.807).

The calculation puts the formation energy from the elements at 0.253 eV/atom.

The following is a PBE calculation of a geometry-optimized Tb5NdTm3 structure, from Alexandria.

It has space group C2/m (No. 12), with a = 16.851 Å, b = 7.982 Å, c = 12.178 Å, α = 90.00°, β = 130.70° and γ = 90.00°. Symmetry generates all atoms from Tb at (0.000, 0.179, 0.000), Tb at (0.064, 0.293, 0.779), Tb at (0.125, 0.500, 0.568), Tb at (0.200, 0.000, 0.070), Nd at (0.236, 0.500, 0.132), Tm at (0.000, 0.000, 0.500), Tm at (0.000, 0.500, 0.000), Tm at (0.121, 0.000, 0.319) and Tm at (0.169, 0.500, 0.338).

The energy above the most stable polymorph in this dataset comes out at 237 meV per atom. The calculation puts the formation energy from the elements at 0.427 eV/atom.

Question: formation energy from the elements of number 5 (Tb6NdTm8)?
Answer: 0.134 eV/atom

Question: Look up the formation energy from the elements of the sixth one.
Answer: 0.015 eV/atom

Question: Number 10 is which compound?
Answer: Tb9Nd11Tm4

Question: Which formula does entry 3 have?
Answer: TbNd7Tm2